# 1
This record from Alexandria via LeMat-Bulk describes an optimized crystal structure of TiCr2GaAu. The functional is PBE.

extended XYZ file:
```
5
Lattice="4.585 0.000 0.000 0.000 4.585 0.000 0.000 0.000 4.764" Properties=species:S:1:pos:R:3 pbc="T T T"
Ti 0.000 0.000 0.000
Cr 0.000 2.292 2.382
Cr 2.292 0.000 2.382
Ga 0.000 0.000 2.382
Au 2.292 2.292 0.000
```

## Properties
The energy is -5.80 eV per atom. The density of states at the Fermi level is 5.1 states/eV/cell.


# 2
This record from Alexandria via LeMat-Bulk describes an optimized crystal structure of TlCrGa2Au. The functional is PBE.

extended XYZ file:
```
5
Lattice="4.903 0.000 0.000 0.000 4.903 0.000 0.000 0.000 5.295" Properties=species:S:1:pos:R:3 pbc="T T T"
Tl 0.000 0.000 0.000
Cr 2.452 2.452 0.000
Ga 0.000 2.452 2.647
Ga 2.452 0.000 2.647
Au 2.452 2.452 2.647
```

## Properties
The energy is -3.88 eV per atom. The density of states at the Fermi level is 2.9 states/eV/cell.


# 3
This record from Alexandria via LeMat-Bulk describes an optimized crystal structure of TlCrGa2Au. The functional is PBE.

extended XYZ file:
```
5
Lattice="5.300 0.000 0.000 0.000 5.300 0.000 0.000 0.000 5.282" Properties=species:S:1:pos:R:3 pbc="T T T"
Tl 0.000 0.000 0.000
Cr 2.650 2.650 2.641
Ga 0.000 2.650 0.000
Ga 2.650 0.000 0.000
Au 0.000 0.000 2.641
```

## Properties
The energy is -3.26 eV per atom. The density of states at the Fermi level is 3.4 states/eV/cell.


# 4
This record from Alexandria via LeMat-Bulk describes an optimized crystal structure of Cr2Ge2Au. The functional is PBE.

extended XYZ file:
```
10
Lattice="7.320 0.000 0.000 0.000 7.320 0.000 0.000 0.000 2.867" Properties=species:S:1:pos:R:3 pbc="T T T"
Cr 1.028 2.632 0.000
Cr 2.632 6.291 0.000
Cr 4.688 1.028 0.000
Cr 6.291 4.688 0.000
Ge 1.147 4.807 1.433
Ge 2.512 1.147 1.433
Ge 4.807 6.172 1.433
Ge 6.172 2.512 1.433
Au 0.000 0.000 1.433
Au 3.660 3.660 1.433
```

## Properties
The energy is -6.19 eV per atom. The density of states at the Fermi level is 6.0 states/eV/cell.


# 5
This record from Alexandria via LeMat-Bulk describes an optimized crystal structure of CrGeAu3. The functional is PBE.

extended XYZ file:
```
5
Lattice="4.834 0.000 0.000 0.000 4.834 0.000 0.000 0.000 4.834" Properties=species:S:1:pos:R:3 pbc="T T T"
Cr 0.000 0.000 0.000
Ge 2.417 2.417 2.417
Au 0.000 0.000 2.417
Au 0.000 2.417 0.000
Au 2.417 0.000 0.000
```

## Properties
The energy is -3.77 eV per atom. The density of states at the Fermi level is 7.8 states/eV/cell.


# 6
This record from Alexandria via LeMat-Bulk describes an optimized crystal structure of Cr2Ge2Au. The functional is PBE.

extended XYZ file:
```
10
Lattice="7.070 0.000 0.000 0.000 7.070 0.000 0.000 0.000 2.957" Properties=species:S:1:pos:R:3 pbc="T T T"
Cr 0.780 2.755 0.000
Cr 2.755 6.290 0.000
Cr 4.316 0.780 0.000
Cr 6.290 4.316 0.000
Ge 1.273 4.809 1.479
Ge 2.262 1.273 1.479
Ge 4.809 5.797 1.479
Ge 5.797 2.262 1.479
Au 0.000 0.000 0.000
Au 3.535 3.535 0.000
```

## Properties
The energy is -6.17 eV per atom. The density of states at the Fermi level is 5.4 states/eV/cell.


# 7
This record from Alexandria via LeMat-Bulk describes an optimized crystal structure of Cr2GeAu2. The functional is PBE.

extended XYZ file:
```
10
Lattice="6.135 0.000 0.000 0.000 6.135 0.000 0.000 0.000 4.212" Properties=species:S:1:pos:R:3 pbc="T T T"
Cr 0.707 2.360 0.000
Cr 2.360 5.428 0.000
Cr 3.775 0.707 0.000
Cr 5.428 3.775 0.000
Ge 0.000 0.000 0.000
Ge 3.068 3.068 0.000
Au 1.073 4.141 2.106
Au 1.995 1.073 2.106
Au 4.141 5.062 2.106
Au 5.062 1.995 2.106
```

## Properties
The energy is -5.83 eV per atom. The density of states at the Fermi level is 10.2 states/eV/cell.


# 8
This record from Alexandria via LeMat-Bulk describes an optimized crystal structure of CrGeAu2. The functional is PBE.

extended XYZ file:
```
8
Lattice="-1.931 1.931 9.789 1.931 -1.931 9.789 1.931 1.931 -9.789" Properties=species:S:1:pos:R:3 pbc="T T T"
Cr 0.000 0.000 0.000
Cr 0.000 1.931 4.894
Ge 1.931 0.000 4.894
Ge 0.000 0.000 9.789
Au 2.897 0.964 -2.447
Au 0.964 0.966 2.447
Au -0.966 0.967 7.342
Au 0.967 0.966 12.236
```

## Properties
The energy is -4.95 eV per atom. The density of states at the Fermi level is 7.0 states/eV/cell.


# 9
This record from Alexandria via LeMat-Bulk describes an optimized crystal structure of CrGeAu3. The functional is PBE.

extended XYZ file:
```
5
Lattice="4.856 0.000 0.000 0.000 4.856 0.000 0.000 0.000 4.856" Properties=species:S:1:pos:R:3 pbc="T T T"
Cr 0.000 0.000 0.000
Ge 2.428 2.428 2.428
Au 0.000 2.428 2.428
Au 2.428 0.000 2.428
Au 2.428 2.428 0.000
```

## Properties
The energy is -4.25 eV per atom. The density of states at the Fermi level is 1.4 states/eV/cell.


# 10
This record from Alexandria via LeMat-Bulk describes an optimized crystal structure of CrGeAu2. The functional is PBE.

extended XYZ file:
```
4
Lattice="3.527 0.000 0.000 0.000 3.527 0.000 0.000 0.000 5.676" Properties=species:S:1:pos:R:3 pbc="T T T"
Cr 0.000 0.000 0.000
Ge 0.000 0.000 2.838
Au 1.764 1.764 1.388
Au 1.764 1.764 4.288
```

## Properties
The energy is -5.08 eV per atom. The density of states at the Fermi level is 2.5 states/eV/cell.


# 11
This record from Alexandria via LeMat-Bulk describes an optimized crystal structure of LiCrGeAu. The functional is PBE.

extended XYZ file:
```
4
Lattice="0.000 3.130 3.130 3.130 0.000 3.130 3.130 3.130 0.000" Properties=species:S:1:pos:R:3 pbc="T T T"
Li 0.000 0.000 0.000
Cr 3.130 3.130 3.130
Ge 4.695 4.695 4.695
Au 1.565 1.565 1.565
```

## Properties
The energy is -4.98 eV per atom. The density of states at the Fermi level is 2.3 states/eV/cell.


# 12
This record from Alexandria via LeMat-Bulk describes an optimized crystal structure of MnCrGeAu. The functional is PBE.

extended XYZ file:
```
4
Lattice="0.000 3.193 3.193 3.193 0.000 3.193 3.193 3.193 0.000" Properties=species:S:1:pos:R:3 pbc="T T T"
Mn 0.000 0.000 0.000
Cr 3.193 3.193 3.193
Ge 1.597 1.597 1.597
Au 4.790 4.790 4.790
```

## Properties
The energy is -6.50 eV per atom. The density of states at the Fermi level is 3.3 states/eV/cell.


# 13
This record from Alexandria via LeMat-Bulk describes an optimized crystal structure of CrGeMo2Au. The functional is PBE.

extended XYZ file:
```
5
Lattice="4.641 0.000 0.000 0.000 4.641 0.000 0.000 0.000 4.558" Properties=species:S:1:pos:R:3 pbc="T T T"
Cr 0.000 0.000 0.000
Ge 2.321 2.321 2.279
Mo 0.000 2.321 2.279
Mo 2.321 0.000 2.279
Au 2.321 2.321 0.000
```

## Properties
The energy is -6.21 eV per atom. The density of states at the Fermi level is 5.8 states/eV/cell.


# 14
This record from Alexandria via LeMat-Bulk describes an optimized crystal structure of CrGeMo2Au. The functional is PBE.

extended XYZ file:
```
5
Lattice="4.437 0.000 0.000 0.000 4.437 0.000 0.000 0.000 4.893" Properties=species:S:1:pos:R:3 pbc="T T T"
Cr 0.000 0.000 0.000
Ge 2.219 2.219 2.446
Mo 0.000 2.219 0.000
Mo 2.219 0.000 0.000
Au 0.000 0.000 2.446
```

## Properties
The energy is -6.61 eV per atom. The density of states at the Fermi level is 4.9 states/eV/cell.


# 15
This record from Alexandria via LeMat-Bulk describes an optimized crystal structure of CrNi2GeAu. The functional is PBE.

extended XYZ file:
```
5
Lattice="4.348 0.000 0.000 0.000 4.348 0.000 0.000 0.000 4.818" Properties=species:S:1:pos:R:3 pbc="T T T"
Cr 0.000 0.000 0.000
Ni 0.000 2.174 2.409
Ni 2.174 0.000 2.409
Ge 2.174 2.174 2.409
Au 2.174 2.174 0.000
```

## Properties
The energy is -5.15 eV per atom. The density of states at the Fermi level is 3.4 states/eV/cell.


# 16
This record from Alexandria via LeMat-Bulk describes an optimized crystal structure of CrGePAu2. The functional is PBE.

extended XYZ file:
```
5
Lattice="4.796 0.000 0.000 0.000 4.796 0.000 0.000 0.000 4.785" Properties=species:S:1:pos:R:3 pbc="T T T"
Cr 0.000 0.000 0.000
Ge 0.000 0.000 2.392
P 2.398 2.398 0.000
Au 0.000 2.398 2.392
Au 2.398 0.000 2.392
```

## Properties
The energy is -4.34 eV per atom. The density of states at the Fermi level is 2.8 states/eV/cell.


# 17
This record from Alexandria via LeMat-Bulk describes an optimized crystal structure of CrTc2GeAu. The functional is PBE.

extended XYZ file:
```
5
Lattice="4.427 0.000 0.000 0.000 4.427 0.000 0.000 0.000 4.528" Properties=species:S:1:pos:R:3 pbc="T T T"
Cr 0.000 0.000 0.000
Tc 0.000 2.214 0.000
Tc 2.214 0.000 0.000
Ge 0.000 0.000 2.264
Au 2.214 2.214 2.264
```

## Properties
The energy is -6.63 eV per atom. The density of states at the Fermi level is 5.2 states/eV/cell.


# 18
This record from Alexandria via LeMat-Bulk describes an optimized crystal structure of CrGe2Te6Au. The functional is PBE.

extended XYZ file:
```
20
Lattice="6.963 -6.219 0.000 6.963 6.219 0.000 -1.695 0.000 7.081" Properties=species:S:1:pos:R:3 pbc="T T T"
Cr 5.692 5.063 5.311
Cr 6.539 -5.063 1.770
Ge 3.098 1.087 5.045
Ge 3.946 -1.087 1.505
Ge 8.285 1.087 5.576
Ge 9.133 -1.087 2.035
Te 0.385 0.904 4.370
Te 3.699 3.416 6.339
Te 1.232 -0.904 0.830
Te 4.574 1.148 2.825
Te 7.684 3.416 4.282
Te 3.726 -1.148 6.365
Te 8.505 1.148 0.716
Te 4.547 -3.416 2.798
Te 7.657 -1.148 4.256
Te 10.999 0.904 6.251
Te 8.532 -3.416 0.742
Te 11.846 -0.904 2.711
Au 6.539 3.083 1.770
Au 5.692 -3.083 5.311
```

## Properties
The uncorrected formation energy is 4 meV/atom. The density of states at the Fermi level is 9.1 states/eV/cell.


# 19
This record from Alexandria via LeMat-Bulk describes an optimized crystal structure of Cr2HAu. The functional is PBE.

extended XYZ file:
```
8
Lattice="-2.548 2.548 3.592 2.548 -2.548 3.592 2.548 2.548 -3.592" Properties=species:S:1:pos:R:3 pbc="T T T"
Cr 0.000 0.000 0.000
Cr 1.274 1.274 -1.796
Cr 1.274 -1.274 1.796
Cr 0.000 2.548 0.000
H 2.548 -1.274 2.694
H 0.000 3.822 0.898
Au 2.548 1.274 0.898
Au 0.000 1.274 2.694
```

## Properties
The energy is -5.95 eV per atom. The density of states at the Fermi level is 7.7 states/eV/cell.


# 20
This record from Alexandria via LeMat-Bulk describes an optimized crystal structure of Cr2HAu. The functional is PBE.

extended XYZ file:
```
4
Lattice="0.000 2.930 2.930 2.930 0.000 2.930 2.930 2.930 0.000" Properties=species:S:1:pos:R:3 pbc="T T T"
Cr 1.465 1.465 1.465
Cr 4.394 4.394 4.394
H 0.000 0.000 0.000
Au 2.930 2.930 2.930
```

## Properties
The energy is -5.39 eV per atom. The density of states at the Fermi level is 8.7 states/eV/cell.